! AcNiIO6 | the Alexandria database | GGA+U | optimized geometry; values from VASP
&SYSTEM
  ibrav = 0, nat = 9, ntyp = 4
/
ATOMIC_SPECIES
Ac 227.00 Ac.upf
Ni 58.69 Ni.upf
I 126.90 I.upf
O 16.00 O.upf
ATOMIC_POSITIONS crystal
Ac 0.0000 0.0000 0.0000
Ni 0.3333 0.6667 0.5000
I 0.6667 0.3333 0.5000
O 0.3855 0.0253 0.7047
O 0.3855 0.3602 0.2953
O 0.6398 0.0253 0.2953
O 0.6398 0.6145 0.7047
O 0.9747 0.3602 0.7047
O 0.9747 0.6145 0.2953
CELL_PARAMETERS angstrom
5.2893 0.0000 0.0000
-2.6447 4.5807 0.0000
0.0000 0.0000 5.3501
! final energy	-51.43	eV per cell
! SG	P312
! N(E_F)	0.0	states/eV/cell